(1)
KZn2Ag: relaxed, PBE.

Cell lengths 4.5280, 4.5280, 4.7676 Å; angles 90.00, 90.00, 90.00 degrees
Space group P4/mmm (No. 123)
One atom of each set of equivalent atoms:
K (0.0000, 0.0000, 0.0000) x1
Zn (0.0000, 0.5000, 0.5000) x2
Ag (0.5000, 0.5000, 0.0000) x1

Properties
E_tot ... -0.0974 Ry/atom
Calculated volume ... 24.44 Å³ per atom
Offset from the most stable computed form ... 0.327 eV/atom

(2)
KZn2Ag2: relaxed, PBE.

Cell lengths 8.3060, 8.3060, 2.9230 Å; angles 90.00, 90.00, 90.00 degrees
Space group P4/mbm (No. 127)
One atom of each set of equivalent atoms:
K (0.0000, 0.0000, 0.0000) x2
Zn (0.1152, 0.3848, 0.0000) x4
Ag (0.1769, 0.6769, 0.5000) x4

Properties
E_tot ... -0.1356 Ry/atom
Calculated volume ... 20.17 Å³ per atom
Offset from the most stable computed form ... 0.000 eV/atom

(3)
KZn2Ag: relaxed, PBE.

Cell lengths 3.0291, 3.9487, 7.6596 Å; angles 90.00, 90.00, 90.00 degrees
Space group Pmmm (No. 47)
One atom of each set of equivalent atoms:
K (0.0000, 0.0000, 0.0000) x1
Zn (0.5000, 0.5000, 0.3230) x2
Ag (0.0000, 0.0000, 0.5000) x1

Properties
E_tot ... -0.1116 Ry/atom
Calculated volume ... 22.90 Å³ per atom
Offset from the most stable computed form ... 0.135 eV/atom

(4)
K3Zn2Ag7: relaxed, PBE.

Cell lengths 5.9693, 5.9693, 27.2340 Å; angles 90.00, 90.00, 120.00 degrees
Space group R-3m (No. 166, hexagonal axes)
One atom of each set of equivalent atoms:
K (0.0000, 0.0000, 0.0000) x3
K (0.0000, 0.0000, 0.1421) x6
Zn (0.0000, 0.0000, 0.3317) x6
Ag (0.0000, 0.0000, 0.5000) x3
Ag (0.0030, 0.5015, 0.0767) x18

Properties
E_tot ... -0.1589 Ry/atom
Calculated volume ... 23.34 Å³ per atom

(5)
KZn2Ag: relaxed, PBE.

Cell lengths 7.2435, 7.2435, 7.2435 Å; angles 90.00, 90.00, 90.00 degrees
Space group F-43m (No. 216)
One atom of each set of equivalent atoms:
K (0.0000, 0.0000, 0.0000) x4
Zn (0.0000, 0.0000, 0.5000) x4
Zn (0.2500, 0.2500, 0.2500) x4
Ag (0.2500, 0.2500, 0.7500) x4

Properties
E_tot ... -0.0997 Ry/atom
Calculated volume ... 23.75 Å³ per atom
Offset from the most stable computed form ... 0.296 eV/atom

(6)
K2ZnAg: relaxed, PBE.

Cell lengths 5.6762, 5.6762, 4.3604 Å; angles 90.00, 90.00, 90.00 degrees
Space group P4/mmm (No. 123)
One atom of each set of equivalent atoms:
K (0.0000, 0.5000, 0.0000) x2
Zn (0.0000, 0.0000, 0.5000) x1
Ag (0.5000, 0.5000, 0.5000) x1

Properties
E_tot ... -0.1062 Ry/atom
Calculated volume ... 35.12 Å³ per atom

Asked for ΔE_f across the records above, the calculation gives 0.30; 0.02; 0.11; -0.01; 0.27; 0.14 eV per atom in order.